[1]
Density functional theory data (GGA-PBE) for a relaxed structure of AlTcP4.

Results
The calculated volume is 343.3 Å³/cell. As for the total energy: -5.26 eV/atom.

Structure (CIF):
```
data_AlTcP4
_chemical_formula_sum 'Al4 Tc4 P16'
_symmetry_space_group_name_H-M 'F -4 3 m'
_symmetry_Int_Tables_number 216
_symmetry_space_group_name_Hall 'F -4 2 3'
_cell_length_a 7.0023
_cell_length_b 7.0023
_cell_length_c 7.0023
_cell_angle_alpha 90.00
_cell_angle_beta 90.00
_cell_angle_gamma 90.00
loop_
_atom_site_label
_atom_site_fract_x
_atom_site_fract_y
_atom_site_fract_z
Al1 0.0000 0.0000 0.0000
Tc1 0.2500 0.2500 0.2500
P1 0.1258 0.1258 0.6258
```

[2]
Density functional theory data (GGA-PBE) for a relaxed structure of Al3TcP.

Results
The calculated volume is 105.0 Å³/cell. The value obtained for the excess energy over the best structure of this formula in the dataset is 0.0000 eV/atom. As for the total energy: -4.75 eV/atom.

Structure (CIF):
```
data_Al3TcP
_chemical_formula_sum 'Al3 Tc1 P1'
_symmetry_space_group_name_H-M 'P m -3 m'
_symmetry_Int_Tables_number 221
_symmetry_space_group_name_Hall '-P 4 2 3'
_cell_length_a 4.7175
_cell_length_b 4.7175
_cell_length_c 4.7175
_cell_angle_alpha 90.00
_cell_angle_beta 90.00
_cell_angle_gamma 90.00
loop_
_atom_site_label
_atom_site_fract_x
_atom_site_fract_y
_atom_site_fract_z
Al1 0.0000 0.0000 0.5000
Tc1 0.0000 0.0000 0.0000
P1 0.5000 0.5000 0.5000
```

[3]
Density functional theory data (GGA-PBE) for a relaxed structure of AlTcP2.

Results
The calculated volume is 60.6 Å³/cell. As for the total energy: -6.38 eV/atom.

Structure (CIF):
```
data_AlTcP2
_chemical_formula_sum 'Al1 Tc1 P2'
_symmetry_space_group_name_H-M 'P 4 m m'
_symmetry_Int_Tables_number 99
_cell_length_a 3.1544
_cell_length_b 3.1544
_cell_length_c 6.0899
_cell_angle_alpha 90.00
_cell_angle_beta 90.00
_cell_angle_gamma 90.00
loop_
_symmetry_equiv_pos_as_xyz
'x,y,z'
'-y,x,z'
'-x,-y,z'
'y,-x,z'
'-x,y,z'
'y,x,z'
'x,-y,z'
'-y,-x,z'
loop_
_atom_site_label
_atom_site_fract_x
_atom_site_fract_y
_atom_site_fract_z
Al1 0.0000 0.0000 0.0000
Tc1 0.5000 0.5000 0.7357
P1 0.0000 0.0000 0.5606
P2 0.5000 0.5000 0.1691
```

[4]
Density functional theory data (GGA-PBE) for a relaxed structure of AlTcP2.

Results
The calculated volume is 113.6 Å³/cell. As for the total energy: -6.21 eV/atom.

Structure (CIF):
```
data_AlTcP2
_chemical_formula_sum 'Al2 Tc2 P4'
_symmetry_space_group_name_H-M 'I m m m'
_symmetry_Int_Tables_number 71
_symmetry_space_group_name_Hall '-I 2 2'
_cell_length_a 3.3682
_cell_length_b 4.6413
_cell_length_c 7.2693
_cell_angle_alpha 90.00
_cell_angle_beta 90.00
_cell_angle_gamma 90.00
loop_
_atom_site_label
_atom_site_fract_x
_atom_site_fract_y
_atom_site_fract_z
Al1 0.0000 0.0000 0.0000
Tc1 0.0000 0.0000 0.5000
P1 0.0000 0.5000 0.2637
```

[5]
Density functional theory data (GGA-PBE) for a relaxed structure of Al2TcP.

Results
The calculated volume is 113.5 Å³/cell. As for the total energy: -5.87 eV/atom.

Structure (CIF):
```
data_Al2TcP
_chemical_formula_sum 'Al4 Tc2 P2'
_symmetry_space_group_name_H-M 'I -4 m 2'
_symmetry_Int_Tables_number 119
_symmetry_space_group_name_Hall 'I -4 -2'
_cell_length_a 3.8310
_cell_length_b 3.8310
_cell_length_c 7.7345
_cell_angle_alpha 90.00
_cell_angle_beta 90.00
_cell_angle_gamma 90.00
loop_
_atom_site_label
_atom_site_fract_x
_atom_site_fract_y
_atom_site_fract_z
Al1 0.0000 0.0000 0.0000
Al2 0.0000 0.5000 0.2500
Tc1 0.0000 0.0000 0.5000
P1 0.0000 0.5000 0.7500
```

[6]
Density functional theory data (GGA-PBE) for a relaxed structure of Al2TcP.

Results
The calculated volume is 117.3 Å³/cell. As for the total energy: -6.08 eV/atom.

Structure (CIF):
```
data_Al2TcP
_chemical_formula_sum 'Al4 Tc2 P2'
_symmetry_space_group_name_H-M 'C 1 m 1'
_symmetry_Int_Tables_number 8
_cell_length_a 8.6956
_cell_length_b 3.0424
_cell_length_c 4.4770
_cell_angle_alpha 90.00
_cell_angle_beta 98.13
_cell_angle_gamma 90.00
loop_
_symmetry_equiv_pos_as_xyz
'x,y,z'
'x,-y,z'
'x+1/2,y+1/2,z'
'x+1/2,-y+1/2,z'
loop_
_atom_site_label
_atom_site_fract_x
_atom_site_fract_y
_atom_site_fract_z
Al1 0.0000 0.0000 0.0000
Al2 0.2457 0.0000 0.7340
Tc1 0.4984 0.0000 0.4992
P1 0.2828 0.5000 0.2864
```

[7]
Density functional theory data (GGA-PBE) for a relaxed structure of AlTc3P.

Results
The calculated volume is 83.0 Å³/cell. The value obtained for the excess energy over the best structure of this formula in the dataset is 0.0000 eV/atom. As for the total energy: -7.76 eV/atom.

Structure (CIF):
```
data_AlTc3P
_chemical_formula_sum 'Al1 Tc3 P1'
_symmetry_space_group_name_H-M 'P m -3 m'
_symmetry_Int_Tables_number 221
_symmetry_space_group_name_Hall '-P 4 2 3'
_cell_length_a 4.3622
_cell_length_b 4.3622
_cell_length_c 4.3622
_cell_angle_alpha 90.00
_cell_angle_beta 90.00
_cell_angle_gamma 90.00
loop_
_atom_site_label
_atom_site_fract_x
_atom_site_fract_y
_atom_site_fract_z
Al1 0.0000 0.0000 0.0000
Tc1 0.0000 0.5000 0.5000
P1 0.5000 0.5000 0.5000
```

[8]
Density functional theory data (GGA-PBE) for a relaxed structure of Al2TcP.

Results
The calculated volume is 55.7 Å³/cell. As for the total energy: -6.15 eV/atom.

Structure (CIF):
```
data_Al2TcP
_chemical_formula_sum 'Al2 Tc1 P1'
_symmetry_space_group_name_H-M 'P 4/m m m'
_symmetry_Int_Tables_number 123
_symmetry_space_group_name_Hall '-P 4 2'
_cell_length_a 3.2789
_cell_length_b 3.2789
_cell_length_c 5.1781
_cell_angle_alpha 90.00
_cell_angle_beta 90.00
_cell_angle_gamma 90.00
loop_
_atom_site_label
_atom_site_fract_x
_atom_site_fract_y
_atom_site_fract_z
Al1 0.0000 0.0000 0.2496
Tc1 0.5000 0.5000 0.0000
P1 0.5000 0.5000 0.5000
```

[9]
Density functional theory data (GGA-PBE) for a relaxed structure of Al2TcP.

Results
The calculated volume is 183.4 Å³/cell. As for the total energy: -6.02 eV/atom.

Structure (CIF):
```
data_Al2TcP
_chemical_formula_sum 'Al6 Tc3 P3'
_symmetry_space_group_name_H-M 'R 3 m'
_symmetry_Int_Tables_number 160
_symmetry_space_group_name_Hall 'R 3 -2"'
_cell_length_a 3.0031
_cell_length_b 3.0031
_cell_length_c 23.4836
_cell_angle_alpha 90.00
_cell_angle_beta 90.00
_cell_angle_gamma 120.00
loop_
_atom_site_label
_atom_site_fract_x
_atom_site_fract_y
_atom_site_fract_z
Al1 0.0000 0.0000 0.0000
Al2 0.0000 0.0000 0.2397
Tc1 0.0000 0.0000 0.4859
P1 0.0000 0.0000 0.7499
```

[10]
Density functional theory data (GGA-PBE) for a relaxed structure of Al2TcP.

Results
The calculated volume is 123.4 Å³/cell. As for the total energy: -6.03 eV/atom.

Structure (CIF):
```
data_Al2TcP
_chemical_formula_sum 'Al4 Tc2 P2'
_symmetry_space_group_name_H-M 'C 1 m 1'
_symmetry_Int_Tables_number 8
_cell_length_a 6.8700
_cell_length_b 4.3723
_cell_length_c 4.7589
_cell_angle_alpha 90.00
_cell_angle_beta 120.31
_cell_angle_gamma 90.00
loop_
_symmetry_equiv_pos_as_xyz
'x,y,z'
'x,-y,z'
'x+1/2,y+1/2,z'
'x+1/2,-y+1/2,z'
loop_
_atom_site_label
_atom_site_fract_x
_atom_site_fract_y
_atom_site_fract_z
Al1 0.0000 0.0000 0.0000
Al2 0.2409 0.0000 0.6610
Tc1 0.2996 0.5000 0.3749
P1 0.4306 0.0000 0.3130
```

[11]
Density functional theory data (GGA-PBE) for a relaxed structure of Al2TcP.

Results
The calculated volume is 56.7 Å³/cell. As for the total energy: -5.84 eV/atom.

Structure (CIF):
```
data_Al2TcP
_chemical_formula_sum 'Al2 Tc1 P1'
_symmetry_space_group_name_H-M 'P m m m'
_symmetry_Int_Tables_number 47
_cell_length_a 3.2672
_cell_length_b 4.1080
_cell_length_c 4.2267
_cell_angle_alpha 90.00
_cell_angle_beta 90.00
_cell_angle_gamma 90.00
loop_
_symmetry_equiv_pos_as_xyz
'x,y,z'
'-x,-y,-z'
'-x,-y,z'
'x,y,-z'
'x,-y,-z'
'-x,y,z'
'-x,y,-z'
'x,-y,z'
loop_
_atom_site_label
_atom_site_fract_x
_atom_site_fract_y
_atom_site_fract_z
Al1 0.0000 0.0000 0.0000
Al2 0.5000 0.0000 0.5000
Tc1 0.0000 0.5000 0.5000
P1 0.5000 0.5000 0.0000
```

[12]
Density functional theory data (GGA-PBE) for a relaxed structure of AlTcP2.

Results
The calculated volume is 57.0 Å³/cell. As for the total energy: -6.40 eV/atom.

Structure (CIF):
```
data_AlTcP2
_chemical_formula_sum 'Al1 Tc1 P2'
_symmetry_space_group_name_H-M 'P 4/m m m'
_symmetry_Int_Tables_number 123
_symmetry_space_group_name_Hall '-P 4 2'
_cell_length_a 2.9405
_cell_length_b 2.9405
_cell_length_c 6.5922
_cell_angle_alpha 90.00
_cell_angle_beta 90.00
_cell_angle_gamma 90.00
loop_
_atom_site_label
_atom_site_fract_x
_atom_site_fract_y
_atom_site_fract_z
Al1 0.0000 0.0000 0.0000
Tc1 0.0000 0.0000 0.5000
P1 0.5000 0.5000 0.2791
```

[13]
Density functional theory data (GGA-PBE) for a relaxed structure of Al4TcP.

Results
The calculated volume is 368.8 Å³/cell. As for the total energy: -4.91 eV/atom.

Structure (CIF):
```
data_Al4TcP
_chemical_formula_sum 'Al16 Tc4 P4'
_symmetry_space_group_name_H-M 'F -4 3 m'
_symmetry_Int_Tables_number 216
_symmetry_space_group_name_Hall 'F -4 2 3'
_cell_length_a 7.1715
_cell_length_b 7.1715
_cell_length_c 7.1715
_cell_angle_alpha 90.00
_cell_angle_beta 90.00
_cell_angle_gamma 90.00
loop_
_atom_site_label
_atom_site_fract_x
_atom_site_fract_y
_atom_site_fract_z
Al1 0.1243 0.1243 0.3757
Tc1 0.2500 0.2500 0.7500
P1 0.0000 0.0000 0.0000
```

[14]
Density functional theory data (GGA-PBE) for a relaxed structure of Al2TcP.

Results
The calculated volume is 57.0 Å³/cell. As for the total energy: -5.98 eV/atom.

Structure (CIF):
```
data_Al2TcP
_chemical_formula_sum 'Al2 Tc1 P1'
_symmetry_space_group_name_H-M 'P 4 m m'
_symmetry_Int_Tables_number 99
_cell_length_a 3.2637
_cell_length_b 3.2637
_cell_length_c 5.3476
_cell_angle_alpha 90.00
_cell_angle_beta 90.00
_cell_angle_gamma 90.00
loop_
_symmetry_equiv_pos_as_xyz
'x,y,z'
'-y,x,z'
'-x,-y,z'
'y,-x,z'
'-x,y,z'
'y,x,z'
'x,-y,z'
'-y,-x,z'
loop_
_atom_site_label
_atom_site_fract_x
_atom_site_fract_y
_atom_site_fract_z
Al1 0.0000 0.0000 0.0000
Al2 0.5000 0.5000 0.2718
Tc1 0.5000 0.5000 0.7584
P1 0.0000 0.0000 0.5016
```

[15]
Density functional theory data (GGA-PBE) for a relaxed structure of AlTcP2.

Results
The calculated volume is 109.9 Å³/cell. As for the total energy: -6.21 eV/atom.

Structure (CIF):
```
data_AlTcP2
_chemical_formula_sum 'Al2 Tc2 P4'
_symmetry_space_group_name_H-M 'C 1 2/m 1'
_symmetry_Int_Tables_number 12
_cell_length_a 5.2712
_cell_length_b 6.6801
_cell_length_c 3.1215
_cell_angle_alpha 90.00
_cell_angle_beta 90.80
_cell_angle_gamma 90.00
loop_
_symmetry_equiv_pos_as_xyz
'x,y,z'
'-x,-y,-z'
'-x,y,-z'
'x,-y,z'
'x+1/2,y+1/2,z'
'-x+1/2,-y+1/2,-z'
'-x+1/2,y+1/2,-z'
'x+1/2,-y+1/2,z'
loop_
_atom_site_label
_atom_site_fract_x
_atom_site_fract_y
_atom_site_fract_z
Al1 0.0000 0.0000 0.0000
Tc1 0.0000 0.5000 0.0000
P1 0.2500 0.2500 0.5000
```